Record 1
BaCo4Ru | PBE | relaxed

a b c (Å): 7.1965 7.1965 7.1965
angles (deg): 90.00 90.00 90.00
Closest atoms and distances in Å follow each position.
Space group F-43m (No. 216)
Symmetry-distinct sites (fractional):
Ba (0.0000, 0.0000, 0.0000)  12 Co 2.99, 4 Ru 3.12
Co (0.1227, 0.1227, 0.6227)  6 Co 2.50-2.59
Ru (0.2500, 0.2500, 0.2500)  12 Co 2.98, 4 Ba 3.12

Summary:
Fermi-level density of states	1.60	states/eV/atom
energy of formation from the pure elements	392	kJ/mol of formula units

Record 2
Ba4CoRu | PBE | relaxed

a b c (Å): 9.6736 9.6736 9.6736
angles (deg): 90.00 90.00 90.00
Closest atoms and distances in Å follow each position.
Space group F-43m (No. 216)
Symmetry-distinct sites (fractional):
Ba (0.1253, 0.1253, 0.1253)  6 Ba 3.41-3.43
Co (0.2500, 0.2500, 0.7500)  12 Ba 4.01, 4 Ru 4.19
Ru (0.0000, 0.0000, 0.5000)  12 Ba 4.01, 4 Co 4.19

Summary:
Fermi-level density of states	2.44	states/eV/atom
energy of formation from the pure elements	827	kJ/mol of formula units

Record 3
Ba2CoRu | PBE | relaxed

a b c (Å): 4.1314 4.5981 14.7343
angles (deg): 90.00 90.00 90.00
Closest atoms and distances in Å follow each position.
Space group Imm2 (No. 44)
Symmetry-distinct sites (fractional):
Ba (0.0000, 0.0000, 0.0000)  2 Co 3.22, 4 Ru 3.38
Ba (0.0000, 0.5000, 0.2560)  2 Ru 3.19, 4 Co 3.37
Co (0.0000, 0.5000, 0.8466)  2 Ru 2.25
Ru (0.0000, 0.0000, 0.4065)  2 Co 2.25

Summary:
Fermi-level density of states	1.28	states/eV/atom
energy of formation from the pure elements	142	kJ/mol of formula units
energy above the lowest structure with this stoichiometry	168	meV/atom